Record 1
PrGdFe2Ge4 | GGA-PBE | optimized geometry

Summary:
**Total DFT energy (no corrections)**: -6.0579 eV/atom

a = 4.261 Å, b = 4.275 Å, c = 16.584 Å
α = 90.00°, β = 90.00°, γ = 90.00°
Space group Amm2 (No. 38)
One atom of each set of equivalent atoms:
1 Pr 0.000 0.000 0.000
2 Gd 0.500 0.000 0.216
3 Fe 0.000 0.000 0.791
4 Fe 0.500 0.000 0.422
5 Ge 0.000 0.000 0.356
6 Ge 0.000 0.000 0.654
7 Ge 0.500 0.000 0.562
8 Ge 0.500 0.000 0.855

---

Record 2
GdFe2SiGe | GGA-PBE | optimized geometry

Summary:
**Total DFT energy (no corrections)**: -6.8337 eV/atom

a = 3.996 Å, b = 3.996 Å, c = 9.798 Å
α = 90.00°, β = 90.00°, γ = 90.00°
Space group I4mm (No. 107)
One atom of each set of equivalent atoms:
1 Gd 0.000 0.000 0.000
2 Fe 0.000 0.500 0.244
3 Si 0.000 0.000 0.636
4 Ge 0.000 0.000 0.370

---

Record 3
SmGdFe2Ge4 | GGA-PBE | optimized geometry

Summary:
**Total DFT energy (no corrections)**: -6.1079 eV/atom

a = 4.378 Å, b = 4.230 Å, c = 8.178 Å
α = 90.00°, β = 104.23°, γ = 90.00°
Space group Pm (No. 6)
One atom of each set of equivalent atoms:
1 Sm 0.000 0.000 0.000
2 Gd 0.751 0.500 0.579
3 Fe 0.259 0.000 0.401
4 Fe 0.494 0.500 0.181
5 Ge 0.061 0.500 0.291
6 Ge 0.308 0.000 0.689
7 Ge 0.444 0.500 0.891
8 Ge 0.691 0.000 0.291

---

Record 4
GdTmFe2Ge4 | GGA-PBE | optimized geometry

Summary:
**Total DFT energy (no corrections)**: -5.9869 eV/atom

a = 4.180 Å, b = 4.140 Å, c = 16.682 Å
α = 90.00°, β = 90.00°, γ = 90.00°
Space group Amm2 (No. 38)
One atom of each set of equivalent atoms:
1 Gd 0.000 0.000 0.000
2 Tm 0.500 0.000 0.780
3 Fe 0.000 0.000 0.211
4 Fe 0.500 0.000 0.572
5 Ge 0.000 0.000 0.345
6 Ge 0.000 0.000 0.641
7 Ge 0.500 0.000 0.142
8 Ge 0.500 0.000 0.435

---

Ρ (computed, g cm⁻³): 7.7 7.8 8.0 8.4